Entry 1:
The following is a PBE-GGA calculation of PuCu4Si4 after structural relaxation, from Alexandria.

The structure in CIF format:
```
data_PuCu4Si4
_space_group_name_H-M_alt 'P 42/n m c'
_space_group_IT_number 137
_cell_length_a 5.820
_cell_length_b 5.820
_cell_length_c 8.008
_cell_angle_alpha 90.00
_cell_angle_beta 90.00
_cell_angle_gamma 90.00
loop_
_space_group_symop_operation_xyz
'x,y,z'
'-x,-y,-z'
'-y+1/2,x,z+1/2'
'y+1/2,-x,-z+1/2'
'-x+1/2,-y+1/2,z'
'x+1/2,y+1/2,-z'
'y,-x+1/2,z+1/2'
'-y,x+1/2,-z+1/2'
'x+1/2,-y,-z'
'-x+1/2,y,z'
'-y,-x,-z+1/2'
'y,x,z+1/2'
'-x,y+1/2,-z'
'x,-y+1/2,z'
'y+1/2,x+1/2,-z+1/2'
'-y+1/2,-x+1/2,z+1/2'
loop_
_atom_site_label
_atom_site_type_symbol
_atom_site_fract_x
_atom_site_fract_y
_atom_site_fract_z
Pu1 Pu 0.250 0.750 0.250
Cu1 Cu 0.015 0.250 0.155
Si1 Si 0.043 0.250 0.449
```

Values from the calculation:
VASP energy: -5.924 eV per atom
Calculated density: 7.5 g cm⁻³
Formation energy (no corrections): -87.9 kJ/mol of formula units

=====

Entry 2:
The following is a PBE-GGA calculation of Pu3Cu2Si3 after structural relaxation, from Alexandria.

The structure in CIF format:
```
data_Pu3Cu2Si3
_space_group_name_H-M_alt 'C m c m'
_space_group_IT_number 63
_space_group_name_Hall '-C 2c 2'
_cell_length_a 4.232
_cell_length_b 10.149
_cell_length_c 13.942
_cell_angle_alpha 90.00
_cell_angle_beta 90.00
_cell_angle_gamma 90.00
loop_
_atom_site_label
_atom_site_type_symbol
_atom_site_fract_x
_atom_site_fract_y
_atom_site_fract_z
Pu1 Pu 0.000 0.088 0.118
Pu2 Pu 0.000 0.388 0.250
Cu1 Cu 0.000 0.206 0.589
Si1 Si 0.000 0.312 0.750
Si2 Si 0.000 0.389 0.036
```

Values from the calculation:
VASP energy: -8.816 eV per atom
Calculated density: 10.5 g cm⁻³
Formation energy (no corrections): -296.1 kJ/mol of formula units

=====

Entry 3:
The following is a PBE-GGA calculation of Pu3CuSi3 after structural relaxation, from Alexandria.

The structure in CIF format:
```
data_Pu3CuSi3
_space_group_name_H-M_alt 'C 1 2/m 1'
_space_group_IT_number 12
_space_group_name_Hall '-C 2y'
_cell_length_a 10.401
_cell_length_b 4.255
_cell_length_c 13.609
_cell_angle_alpha 90.00
_cell_angle_beta 111.05
_cell_angle_gamma 90.00
loop_
_atom_site_label
_atom_site_type_symbol
_atom_site_fract_x
_atom_site_fract_y
_atom_site_fract_z
Pu1 Pu 0.024 0.000 0.375
Pu2 Pu 0.099 0.000 0.917
Pu3 Pu 0.241 0.500 0.776
Cu1 Cu 0.248 0.500 0.405
Si1 Si 0.060 0.500 0.236
Si2 Si 0.109 0.500 0.074
Si3 Si 0.129 0.500 0.540
```

Values from the calculation:
VASP energy: -9.460 eV per atom
Calculated density: 10.4 g cm⁻³
Formation energy (no corrections): -276.1 kJ/mol of formula units

=====

Entry 4:
The following is a PBE-GGA calculation of PuCu2Si2 after structural relaxation, from Alexandria.

The structure in CIF format:
```
data_PuCu2Si2
_space_group_name_H-M_alt 'P 4/n m m'
_space_group_IT_number 129
_cell_length_a 4.046
_cell_length_b 4.046
_cell_length_c 9.778
_cell_angle_alpha 90.00
_cell_angle_beta 90.00
_cell_angle_gamma 90.00
loop_
_space_group_symop_operation_xyz
'x,y,z'
'-x,-y,-z'
'-y+1/2,x,z'
'y+1/2,-x,-z'
'-x+1/2,-y+1/2,z'
'x+1/2,y+1/2,-z'
'y,-x+1/2,z'
'-y,x+1/2,-z'
'x+1/2,-y,-z'
'-x+1/2,y,z'
'-y,-x,-z'
'y,x,z'
'-x,y+1/2,-z'
'x,-y+1/2,z'
'y+1/2,x+1/2,-z'
'-y+1/2,-x+1/2,z'
loop_
_atom_site_label
_atom_site_type_symbol
_atom_site_fract_x
_atom_site_fract_y
_atom_site_fract_z
Pu1 Pu 0.250 0.250 0.249
Cu1 Cu 0.250 0.250 0.873
Cu2 Cu 0.250 0.750 0.500
Si1 Si 0.250 0.250 0.635
Si2 Si 0.250 0.750 0.000
```

Values from the calculation:
VASP energy: -7.034 eV per atom
Calculated density: 8.9 g cm⁻³
Formation energy (no corrections): -173.7 kJ/mol of formula units

=====

Entry 5:
The following is a PBE-GGA calculation of Pu3Cu2Si4 after structural relaxation, from Alexandria.

The structure in CIF format:
```
data_Pu3Cu2Si4
_space_group_name_H-M_alt 'C 1 2/m 1'
_space_group_IT_number 12
_space_group_name_Hall '-C 2y'
_cell_length_a 10.841
_cell_length_b 4.070
_cell_length_c 8.140
_cell_angle_alpha 90.00
_cell_angle_beta 113.13
_cell_angle_gamma 90.00
loop_
_atom_site_label
_atom_site_type_symbol
_atom_site_fract_x
_atom_site_fract_y
_atom_site_fract_z
Pu1 Pu 0.000 0.000 0.000
Pu2 Pu 0.108 0.500 0.670
Cu1 Cu 0.178 0.500 0.318
Si1 Si 0.114 0.000 0.402
Si2 Si 0.228 0.500 0.064
```

Values from the calculation:
VASP energy: -8.484 eV per atom
Calculated density: 9.8 g cm⁻³
Formation energy (no corrections): -335.1 kJ/mol of formula units

=====

Entry 6:
The following is a PBE-GGA calculation of PuCu3Si2 after structural relaxation, from Alexandria.

The structure in CIF format:
```
data_PuCu3Si2
_space_group_name_H-M_alt 'C 1 2/m 1'
_space_group_IT_number 12
_space_group_name_Hall '-C 2y'
_cell_length_a 14.658
_cell_length_b 3.889
_cell_length_c 7.206
_cell_angle_alpha 90.00
_cell_angle_beta 114.91
_cell_angle_gamma 90.00
loop_
_atom_site_label
_atom_site_type_symbol
_atom_site_fract_x
_atom_site_fract_y
_atom_site_fract_z
Pu1 Pu 0.151 0.000 0.067
Cu1 Cu 0.038 0.000 0.374
Cu2 Cu 0.096 0.500 0.679
Cu3 Cu 0.184 0.500 0.448
Si1 Si 0.020 0.500 0.173
Si2 Si 0.192 0.000 0.686
```

Values from the calculation:
VASP energy: -6.538 eV per atom
Calculated density: 8.7 g cm⁻³
Formation energy (no corrections): -169.9 kJ/mol of formula units